Entry w
VASP calculation (GGA-PBE) on crystalline KNaCl at its relaxed geometry.

## Properties
Space-group type: I4mm (107)
Calculated density: 1587 kg/m3

```
KNaCl
1.0
-0.471 -0.827 3.650
-2.611 -2.563 -0.918
6.640 -3.327 -1.846
Cl K Na
1 1 1
direct
0.335 0.335 0.670
0.707 0.707 0.415
0.958 0.958 0.915
```



Entry x
VASP calculation (GGA-PBE) on crystalline KNaCl at its relaxed geometry.

## Properties
Space-group type: P3m1 (156)
Calculated density: 1444 kg/m3

```
KNaCl
1.0
4.225 0.000 0.000
-2.113 3.659 0.000
0.000 0.000 7.254
Cl K Na
1 1 1
direct
0.667 0.333 0.353
0.000 0.000 0.076
0.333 0.667 0.572
```



The winner here is entry x, beating the second structure by 51 meV/atom.



Entry w
VASP calculation (GGA-PBE) on crystalline KNaCl3 at its relaxed geometry.

## Properties
Space-group type: Pm-3m (221)
Calculated density: 1385 kg/m3

```
KNaCl3
1.0
-3.251 -4.323 -2.273
-0.736 -2.266 5.362
-4.829 3.257 0.713
Cl K Na
3 1 1
direct
0.000 0.000 0.500
0.500 0.000 0.000
0.000 0.500 0.000
0.000 0.000 0.000
0.500 0.500 0.500
```



Entry x
VASP calculation (GGA-PBE) on crystalline KNaCl3 at its relaxed geometry.

## Properties
Space-group type: Pm-3m (221)
Calculated density: 1841 kg/m3

```
KNaCl3
1.0
5.336 0.000 0.000
0.000 5.336 0.000
0.000 0.000 5.336
Cl Na K
3 1 1
direct
0.000 0.000 0.500
0.000 0.500 0.000
0.500 0.000 0.000
0.000 0.000 0.000
0.500 0.500 0.500
```



The winner here is entry x, beating the second structure by 273 meV/atom.



Entry w
VASP calculation (GGA-PBE) on crystalline K3NaCl4 at its relaxed geometry.

## Properties
Space-group type: Cmmm (65)
Calculated density: 1951 kg/m3

```
K3NaCl4
1.0
4.386 0.000 0.000
0.000 6.963 -3.091
0.000 0.600 7.595
Na K Cl
1 3 4
direct
0.500 0.000 0.000
0.500 0.500 0.500
0.000 0.000 0.500
0.000 0.500 0.000
0.500 0.759 0.241
0.000 0.767 0.767
0.000 0.233 0.233
0.500 0.241 0.759
```



Entry x
VASP calculation (GGA-PBE) on crystalline K3NaCl4 at its relaxed geometry.

## Properties
Space-group type: Pm-3m (221)
Calculated density: 1930 kg/m3

```
K3NaCl4
1.0
-0.933 -3.474 -5.097
6.061 0.441 -1.410
1.146 -5.162 3.310
Cl K Na
4 3 1
direct
0.000 0.000 0.500
0.500 0.000 0.000
0.000 0.500 0.000
0.500 0.500 0.500
0.500 0.000 0.500
0.000 0.500 0.500
0.500 0.500 0.000
0.000 0.000 0.000
```



The winner here is entry w, beating the second structure by 11 meV/atom.



Entry w
VASP calculation (GGA-PBE) on crystalline KNa4Cl5 at its relaxed geometry.

## Properties
Space-group type: I4/mmm (139)
Calculated density: 2030 kg/m3

```
KNa4Cl5
1.0
14.835 0.007 0.000
13.663 5.779 0.000
-14.249 -2.893 2.945
Na Cl K
4 5 1
direct
0.798 0.798 0.000
0.605 0.605 0.000
0.395 0.395 0.000
0.202 0.202 0.000
0.298 0.298 0.000
0.894 0.894 0.000
0.106 0.106 0.000
0.500 0.500 0.000
0.702 0.702 0.000
0.000 0.000 0.000
```



Entry x
VASP calculation (GGA-PBE) on crystalline KNa4Cl5 at its relaxed geometry.

## Properties
Space-group type: C2/m (12)
Calculated density: 2059 kg/m3

```
KNa4Cl5
1.0
-2.409 -5.990 -3.085
-1.187 -7.022 0.691
-9.429 -3.060 2.213
Cl Na K
5 4 1
direct
0.206 0.206 0.687
0.794 0.794 0.313
0.000 0.000 0.500
0.391 0.391 0.887
0.609 0.609 0.113
0.402 0.402 0.403
0.200 0.200 0.209
0.800 0.800 0.791
0.598 0.598 0.597
0.000 0.000 0.000
```



Entry y
VASP calculation (GGA-PBE) on crystalline KNa4Cl5 at its relaxed geometry.

## Properties
Space-group type: R-3m (166)
Calculated density: 2070 kg/m3

```
KNa4Cl5
1.0
-5.136 -16.215 -1.536
-3.687 -15.792 -5.358
-1.156 -16.882 -2.310
Cl Na K
5 4 1
direct
0.500 0.500 0.500
0.706 0.706 0.706
0.294 0.294 0.294
0.897 0.897 0.897
0.103 0.103 0.103
0.198 0.198 0.198
0.802 0.802 0.802
0.404 0.404 0.404
0.596 0.596 0.596
0.000 0.000 0.000
```



The winner here is entry y, beating the second structure by 5 meV/atom.



Entry w
VASP calculation (GGA-PBE) on crystalline K2Na2Cl at its relaxed geometry.

## Properties
Space-group type: I4/mmm (139)
Calculated density: 1299 kg/m3

```
K2Na2Cl
1.0
-3.718 -1.046 -1.963
-1.647 -1.274 3.799
-6.433 8.891 2.663
K Na Cl
2 2 1
direct
0.584 0.584 0.832
0.416 0.416 0.168
0.250 0.750 0.500
0.750 0.250 0.500
0.000 0.000 0.000
```



Entry x
VASP calculation (GGA-PBE) on crystalline K2Na2Cl at its relaxed geometry.

## Properties
Space-group type: P4/mbm (127)
Calculated density: 1063 kg/m3

```
K2Na2Cl
1.0
8.294 0.000 0.000
0.000 8.294 0.000
0.000 0.000 7.252
Na Cl K
4 2 4
direct
0.650 0.850 0.500
0.150 0.650 0.500
0.850 0.350 0.500
0.350 0.150 0.500
0.000 0.000 0.000
0.500 0.500 0.000
0.687 0.187 0.000
0.187 0.313 0.000
0.313 0.813 0.000
0.813 0.687 0.000
```



Entry y
VASP calculation (GGA-PBE) on crystalline K2Na2Cl at its relaxed geometry.

## Properties
Space-group type: P4/mbm (127)
Calculated density: 1172 kg/m3

```
K2Na2Cl
1.0
7.951 0.000 0.000
0.000 7.951 0.000
0.000 0.000 7.155
Cl Na K
2 4 4
direct
0.500 0.500 0.000
0.000 0.000 0.000
0.667 0.167 0.000
0.167 0.333 0.000
0.833 0.667 0.000
0.333 0.833 0.000
0.180 0.680 0.500
0.320 0.180 0.500
0.680 0.820 0.500
0.820 0.320 0.500
```



The winner here is entry w, beating the second structure by 47 meV/atom.



Entry w
VASP calculation (GGA-PBE) on crystalline K2RbNaCl at its relaxed geometry.

## Properties
Space-group type: P4/mmm (123)
Calculated density: 1387 kg/m3

```
K2RbNaCl
1.0
6.321 0.000 0.000
0.000 6.321 0.000
0.000 0.000 6.655
K Rb Cl Na
2 1 1 1
direct
0.500 0.000 0.000
0.000 0.500 0.000
0.000 0.000 0.500
0.000 0.000 0.000
0.500 0.500 0.500
```



Entry x
VASP calculation (GGA-PBE) on crystalline K2RbNaCl at its relaxed geometry.

## Properties
Space-group type: P4/mmm (123)
Calculated density: 1371 kg/m3

```
K2RbNaCl
1.0
-1.340 -5.351 3.156
1.759 -3.423 -5.058
6.243 -0.202 2.307
K Na Cl Rb
2 1 1 1
direct
0.000 0.500 0.000
0.500 0.000 0.000
0.000 0.000 0.500
0.000 0.000 0.000
0.500 0.500 0.500
```



The winner here is entry w, beating the second structure by 93 meV/atom.



Entry w
VASP calculation (GGA-PBE) on crystalline KNaS2Cl at its relaxed geometry.

## Properties
Space-group type: P4/mmm (123)
Calculated density: 1329 kg/m3

```
KNaS2Cl
1.0
5.895 0.000 0.000
0.000 5.895 0.000
0.000 0.000 5.813
Na K S Cl
1 1 2 1
direct
0.500 0.500 0.500
0.000 0.000 0.000
0.000 0.500 0.000
0.500 0.000 0.000
0.000 0.000 0.500
```



Entry x
VASP calculation (GGA-PBE) on crystalline KNaS2Cl at its relaxed geometry.

## Properties
Space-group type: P4/mmm (123)
Calculated density: 1767 kg/m3

```
KNaS2Cl
1.0
5.304 0.000 0.000
0.000 5.304 0.000
0.000 0.000 5.401
S Na Cl K
2 1 1 1
direct
0.500 0.000 0.000
0.000 0.500 0.000
0.000 0.000 0.000
0.000 0.000 0.500
0.500 0.500 0.500
```



The winner here is entry x, beating the second structure by 323 meV/atom.



Entry w
VASP calculation (GGA-PBE) on crystalline KNbCl3 at its relaxed geometry.

## Properties
Space-group type: C2/m (12)
Calculated density: 3113 kg/m3

```
KNbCl3
1.0
3.560 0.000 0.000
-1.779 7.892 0.616
0.001 1.387 9.160
K Cl Nb
2 6 2
direct
0.378 0.722 0.124
0.579 0.124 0.298
0.740 0.447 0.014
0.216 0.399 0.408
0.911 0.789 0.391
0.045 0.057 0.030
0.612 0.190 0.712
0.344 0.656 0.709
0.767 0.500 0.595
0.189 0.346 0.826
```



Entry x
VASP calculation (GGA-PBE) on crystalline KNbCl3 at its relaxed geometry.

## Properties
Space-group type: Pm-3m (221)
Calculated density: 2423 kg/m3

```
KNbCl3
1.0
5.467 0.000 0.000
0.000 5.467 0.000
0.000 0.000 5.467
Cl Nb K
3 1 1
direct
0.000 0.000 0.500
0.500 0.000 0.000
0.000 0.500 0.000
0.500 0.500 0.500
0.000 0.000 0.000
```



The winner here is entry w, beating the second structure by 1515 meV/atom.



Entry w
VASP calculation (GGA-PBE) on crystalline KNb2Cl at its relaxed geometry.

## Properties
Space-group type: Fm-3m (225)
Calculated density: 5045 kg/m3

```
KNb2Cl
1.0
0.000 3.499 3.499
3.499 0.000 3.499
3.499 3.499 0.000
K Nb Cl
1 2 1
direct
0.500 0.500 0.500
0.750 0.750 0.750
0.250 0.250 0.250
0.000 0.000 0.000
```



Entry x
VASP calculation (GGA-PBE) on crystalline KNb2Cl at its relaxed geometry.

## Properties
Space-group type: I4_1/amd (141)
Calculated density: 3822 kg/m3

```
KNb2Cl
1.0
-1.592 3.582 -2.817
-4.163 0.070 2.442
0.849 8.333 5.980
K Nb Cl
2 4 2
direct
0.000 0.000 0.000
0.750 0.250 0.500
0.374 0.125 0.250
0.376 0.625 0.250
0.375 0.626 0.750
0.875 0.624 0.750
0.250 0.750 0.500
0.500 0.500 0.000
```



The winner here is entry x, beating the second structure by 920 meV/atom.



Entry w
VASP calculation (GGA-PBE) on crystalline KNb3Cl at its relaxed geometry.

## Properties
Space-group type: Pm-3m (221)
Calculated density: 5324 kg/m3

```
KNb3Cl
1.0
4.794 0.000 0.000
0.000 4.794 0.000
0.000 0.000 4.794
Cl Nb K
1 3 1
direct
0.500 0.500 0.500
0.000 0.000 0.500
0.000 0.500 0.000
0.500 0.000 0.000
0.000 0.000 0.000
```



Entry x
VASP calculation (GGA-PBE) on crystalline KNb3Cl at its relaxed geometry.

## Properties
Space-group type: Pm-3m (221)
Calculated density: 5405 kg/m3

```
KNb3Cl
1.0
-3.016 2.635 2.591
-2.659 0.775 -3.884
-2.567 -3.900 0.979
Nb K Cl
3 1 1
direct
0.500 0.000 0.000
0.000 0.500 0.000
0.000 0.000 0.500
0.500 0.500 0.500
0.000 0.000 0.000
```



The winner here is entry x, beating the second structure by 1704 meV/atom.



Entry w
VASP calculation (GGA-PBE) on crystalline KNbPCl2 at its relaxed geometry.

## Properties
Space-group type: P4/mmm (123)
Calculated density: 3100 kg/m3

```
KNbPCl2
1.0
-0.175 -3.380 -3.789
0.089 -3.792 3.379
-4.851 0.048 0.181
Cl P K Nb
2 1 1 1
direct
0.000 0.500 0.000
0.500 0.000 0.000
0.000 0.000 0.500
0.500 0.500 0.500
0.000 0.000 0.000
```



Entry x
VASP calculation (GGA-PBE) on crystalline KNbPCl2 at its relaxed geometry.

## Properties
Space-group type: P4/mmm (123)
Calculated density: 2348 kg/m3

```
KNbPCl2
1.0
5.361 0.000 0.000
0.000 5.361 0.000
0.000 0.000 5.756
Cl Nb P K
2 1 1 1
direct
0.000 0.500 0.000
0.500 0.000 0.000
0.500 0.500 0.500
0.000 0.000 0.500
0.000 0.000 0.000
```



The winner here is entry w, beating the second structure by 1730 meV/atom.



Entry w
VASP calculation (GGA-PBE) on crystalline KNbSCl2 at its relaxed geometry.

## Properties
Space-group type: P4/mmm (123)
Calculated density: 2493 kg/m3

```
KNbSCl2
1.0
-0.986 2.610 -4.536
-5.213 -0.890 0.621
-0.470 4.721 2.820
K Cl Nb S
1 2 1 1
direct
0.000 0.000 0.000
0.000 0.500 0.000
0.500 0.000 0.000
0.500 0.500 0.500
0.000 0.000 0.500
```



Entry x
VASP calculation (GGA-PBE) on crystalline KNbSCl2 at its relaxed geometry.

## Properties
Space-group type: P4/mmm (123)
Calculated density: 3053 kg/m3

```
KNbSCl2
1.0
5.160 0.000 0.000
0.000 5.160 0.000
0.000 0.000 4.800
Cl S Nb K
2 1 1 1
direct
0.500 0.000 0.000
0.000 0.500 0.000
0.000 0.000 0.500
0.000 0.000 0.000
0.500 0.500 0.500
```



The winner here is entry x, beating the second structure by 1768 meV/atom.